A relaxed structure of BaCdCuCl6. Source: the Alexandria database, functional PBE.

Output
Crystal system: monoclinic

CIF file:
```
data_BaCdCuCl6
_chemical_formula_sum 'Ba1 Cd1 Cu1 Cl6'
_symmetry_space_group_name_H-M 'P 1'
_symmetry_Int_Tables_number 1
_cell_length_a 7.187
_cell_length_b 6.487
_cell_length_c 6.764
_cell_angle_alpha 86.12
_cell_angle_beta 83.00
_cell_angle_gamma 56.40
loop_
_symmetry_equiv_pos_as_xyz
'x,y,z'
loop_
_atom_site_label
_atom_site_type_symbol
_atom_site_fract_x
_atom_site_fract_y
_atom_site_fract_z
Ba1 Ba 0.020 0.960 0.000
Cd1 Cd 0.684 0.631 0.500
Cu1 Cu 0.331 0.338 0.500
Cl1 Cl 0.000 0.372 0.231
Cl2 Cl 0.362 0.032 0.716
Cl3 Cl 0.629 0.371 0.768
Cl4 Cl 0.007 0.632 0.684
Cl5 Cl 0.360 0.633 0.317
Cl6 Cl 0.607 0.032 0.284
```

A relaxed structure of BaCd3Cu4Cl12. Source: the Alexandria database, functional PBE.

Output
Crystal system: trigonal

CIF file:
```
data_BaCd3Cu4Cl12
_chemical_formula_sum 'Ba1 Cd3 Cu4 Cl12'
_symmetry_space_group_name_H-M 'P 1'
_symmetry_Int_Tables_number 1
_cell_length_a 8.612
_cell_length_b 8.612
_cell_length_c 8.612
_cell_angle_alpha 106.04
_cell_angle_beta 106.04
_cell_angle_gamma 106.04
loop_
_symmetry_equiv_pos_as_xyz
'x,y,z'
loop_
_atom_site_label
_atom_site_type_symbol
_atom_site_fract_x
_atom_site_fract_y
_atom_site_fract_z
Ba1 Ba 0.000 0.000 0.000
Cd1 Cd 0.575 0.425 0.000
Cd2 Cd 0.425 0.000 0.575
Cd3 Cd 0.000 0.575 0.425
Cu1 Cu 0.906 0.094 0.500
Cu2 Cu 0.094 0.500 0.906
Cu3 Cu 0.500 0.906 0.094
Cu4 Cu 0.500 0.500 0.500
Cl1 Cl 0.500 0.339 0.661
Cl2 Cl 0.917 0.500 0.083
Cl3 Cl 0.083 0.917 0.500
Cl4 Cl 0.500 0.083 0.917
Cl5 Cl 0.343 0.976 0.239
Cl6 Cl 0.239 0.343 0.976
Cl7 Cl 0.976 0.239 0.343
Cl8 Cl 0.657 0.761 0.024
Cl9 Cl 0.024 0.657 0.761
Cl10 Cl 0.761 0.024 0.657
Cl11 Cl 0.661 0.500 0.339
Cl12 Cl 0.339 0.661 0.500
```

A relaxed structure of BaCdCu2Cl8. Source: the Alexandria database, functional PBE.

Output
Crystal system: trigonal

CIF file:
```
data_BaCdCu2Cl8
_chemical_formula_sum 'Ba1 Cd1 Cu2 Cl8'
_symmetry_space_group_name_H-M 'P 1'
_symmetry_Int_Tables_number 1
_cell_length_a 6.426
_cell_length_b 6.426
_cell_length_c 8.852
_cell_angle_alpha 90.00
_cell_angle_beta 90.00
_cell_angle_gamma 120.00
loop_
_symmetry_equiv_pos_as_xyz
'x,y,z'
loop_
_atom_site_label
_atom_site_type_symbol
_atom_site_fract_x
_atom_site_fract_y
_atom_site_fract_z
Ba1 Ba 0.000 0.000 0.000
Cd1 Cd 0.000 0.000 0.500
Cu1 Cu 0.667 0.333 0.260
Cu2 Cu 0.333 0.667 0.740
Cl1 Cl 0.333 0.667 0.993
Cl2 Cl 0.313 0.318 0.308
Cl3 Cl 0.682 0.995 0.308
Cl4 Cl 0.667 0.333 0.007
Cl5 Cl 0.318 0.005 0.692
Cl6 Cl 0.687 0.682 0.692
Cl7 Cl 0.995 0.313 0.692
Cl8 Cl 0.005 0.687 0.308
```

A relaxed structure of BaCdFe2Cl8. Source: the Alexandria database, functional PBE.

Output
Crystal system: trigonal

CIF file:
```
data_BaCdFe2Cl8
_chemical_formula_sum 'Ba1 Cd1 Fe2 Cl8'
_symmetry_space_group_name_H-M 'P 1'
_symmetry_Int_Tables_number 1
_cell_length_a 7.268
_cell_length_b 7.268
_cell_length_c 8.595
_cell_angle_alpha 90.00
_cell_angle_beta 90.00
_cell_angle_gamma 120.00
loop_
_symmetry_equiv_pos_as_xyz
'x,y,z'
loop_
_atom_site_label
_atom_site_type_symbol
_atom_site_fract_x
_atom_site_fract_y
_atom_site_fract_z
Ba1 Ba 0.000 0.000 0.500
Cd1 Cd 0.000 0.000 0.000
Fe1 Fe 0.333 0.667 0.710
Fe2 Fe 0.667 0.333 0.290
Cl1 Cl 0.160 0.319 0.790
Cl2 Cl 0.160 0.840 0.790
Cl3 Cl 0.681 0.840 0.790
Cl4 Cl 0.319 0.160 0.210
Cl5 Cl 0.667 0.333 0.549
Cl6 Cl 0.333 0.667 0.451
Cl7 Cl 0.840 0.681 0.210
Cl8 Cl 0.840 0.160 0.210
```

A relaxed structure of BaCdHg2Cl8. Source: the Alexandria database, functional PBE.

Output
Crystal system: triclinic

CIF file:
```
data_BaCdHg2Cl8
_chemical_formula_sum 'Ba1 Cd1 Hg2 Cl8'
_symmetry_space_group_name_H-M 'P 1'
_symmetry_Int_Tables_number 1
_cell_length_a 6.942
_cell_length_b 6.556
_cell_length_c 8.666
_cell_angle_alpha 78.20
_cell_angle_beta 83.72
_cell_angle_gamma 89.55
loop_
_symmetry_equiv_pos_as_xyz
'x,y,z'
loop_
_atom_site_label
_atom_site_type_symbol
_atom_site_fract_x
_atom_site_fract_y
_atom_site_fract_z
Ba1 Ba 0.000 0.000 0.500
Cd1 Cd 0.000 0.000 0.000
Hg1 Hg 0.510 0.487 0.770
Hg2 Hg 0.490 0.513 0.230
Cl1 Cl 0.135 0.746 0.245
Cl2 Cl 0.646 0.747 0.005
Cl3 Cl 0.840 0.209 0.194
Cl4 Cl 0.865 0.254 0.755
Cl5 Cl 0.354 0.253 0.995
Cl6 Cl 0.160 0.791 0.806
Cl7 Cl 0.612 0.734 0.532
Cl8 Cl 0.388 0.266 0.468
```

A relaxed structure of BaCdHgCl6. Source: the Alexandria database, functional PBE.

Output
Crystal system: trigonal

CIF file:
```
data_BaCdHgCl6
_chemical_formula_sum 'Ba1 Cd1 Hg1 Cl6'
_symmetry_space_group_name_H-M 'P 1'
_symmetry_Int_Tables_number 1
_cell_length_a 6.949
_cell_length_b 6.948
_cell_length_c 6.696
_cell_angle_alpha 89.99
_cell_angle_beta 90.00
_cell_angle_gamma 60.01
loop_
_symmetry_equiv_pos_as_xyz
'x,y,z'
loop_
_atom_site_label
_atom_site_type_symbol
_atom_site_fract_x
_atom_site_fract_y
_atom_site_fract_z
Ba1 Ba 0.000 0.000 0.000
Cd1 Cd 0.667 0.667 0.500
Hg1 Hg 0.333 0.333 0.500
Cl1 Cl 0.995 0.368 0.272
Cl2 Cl 0.368 0.995 0.728
Cl3 Cl 0.637 0.368 0.728
Cl4 Cl 0.995 0.637 0.728
Cl5 Cl 0.368 0.637 0.272
Cl6 Cl 0.637 0.995 0.272
```

M_tot values (in Bohr magnetons per cell) by entry order: 1.00; 0.00; 2.09; 8.00; 0.00; 0.00.
Uncorrected formation energy values (in kcal/mol of atoms) by entry order: -30.65; -22.88; -24.34; -26.77; -26.56; -31.72.